A plane-wave DFT calculation with PBE-GGA was carried out for a geometry-optimized HoInTc structure.

Structure (CIF):
```
data_HoInTc
_space_group_name_H-M_alt 'F -4 3 m'
_space_group_IT_number 216
_space_group_name_Hall 'F -4 2 3'
_cell_length_a 6.751
_cell_length_b 6.751
_cell_length_c 6.751
_cell_angle_alpha 90.00
_cell_angle_beta 90.00
_cell_angle_gamma 90.00
loop_
_atom_site_label
_atom_site_type_symbol
_atom_site_fract_x
_atom_site_fract_y
_atom_site_fract_z
Ho1 Ho 0.000 0.000 0.000
In1 In 0.250 0.250 0.750
Tc1 Tc 0.250 0.250 0.250
```

DFT total energy in eV for the cell shown: -59.64

A plane-wave DFT calculation with PBE-GGA was carried out for a geometry-optimized Ho4InTc structure.

Structure (CIF):
```
data_Ho4InTc
_space_group_name_H-M_alt 'C 1 2/c 1'
_space_group_IT_number 15
_space_group_name_Hall '-C 2yc'
_cell_length_a 8.689
_cell_length_b 12.917
_cell_length_c 6.174
_cell_angle_alpha 90.00
_cell_angle_beta 107.66
_cell_angle_gamma 90.00
loop_
_atom_site_label
_atom_site_type_symbol
_atom_site_fract_x
_atom_site_fract_y
_atom_site_fract_z
Ho1 Ho 0.108 0.168 0.049
Ho2 Ho 0.222 0.422 0.388
In1 In 0.000 0.375 0.750
Tc1 Tc 0.000 0.000 0.250
```

DFT total energy in eV for the cell shown: -131.76